Record 1
Material: NaY2Cu2
Method: DFT, PBE
State: optimized geometry

a = 3.4834 Å, b = 3.4834 Å, c = 21.0708 Å
α = 90.00°, β = 90.00°, γ = 90.00°
Positions (direct):
1 Na 0.0000 0.0000 0.0000
2 Na 0.5000 0.5000 0.5000
3 Y 0.0000 0.0000 0.3616
4 Y 0.0000 0.0000 0.6384
5 Y 0.5000 0.5000 0.1384
6 Y 0.5000 0.5000 0.8616
7 Cu 0.0000 0.5000 0.2500
8 Cu 0.0000 0.5000 0.7500
9 Cu 0.5000 0.0000 0.2500
10 Cu 0.5000 0.0000 0.7500

Summary:
**E above lowest polymorph**: 230 meV per atom
**Space group**: I4/mmm (139)


Record 2
Material: NaY2Cu2
Method: DFT, PBE
State: optimized geometry

a = 7.9629 Å, b = 7.9629 Å, c = 3.6405 Å
α = 90.00°, β = 90.00°, γ = 90.00°
Positions (direct):
1 Na 0.0000 0.0000 0.0000
2 Na 0.5000 0.5000 0.0000
3 Y 0.1617 0.3383 0.5000
4 Y 0.3383 0.8383 0.5000
5 Y 0.6617 0.1617 0.5000
6 Y 0.8383 0.6617 0.5000
7 Cu 0.1226 0.6226 0.0000
8 Cu 0.3774 0.1226 0.0000
9 Cu 0.6226 0.8774 0.0000
10 Cu 0.8774 0.3774 0.0000

Summary:
**E above lowest polymorph**: 0 meV per atom
**Space group**: P4/mbm (127)


Record 3
Material: Na2YCu2
Method: DFT, PBE
State: optimized geometry

a = 8.1542 Å, b = 8.1542 Å, c = 3.1758 Å
α = 90.00°, β = 90.00°, γ = 90.00°
Positions (direct):
1 Na 0.1148 0.3852 0.0000
2 Na 0.3852 0.8852 0.0000
3 Na 0.6148 0.1148 0.0000
4 Na 0.8852 0.6148 0.0000
5 Y 0.0000 0.0000 0.0000
6 Y 0.5000 0.5000 0.0000
7 Cu 0.1896 0.6896 0.5000
8 Cu 0.3104 0.1896 0.5000
9 Cu 0.6896 0.8104 0.5000
10 Cu 0.8104 0.3104 0.5000

Summary:
**E above lowest polymorph**: 192 meV per atom
**Space group**: P4/mbm (127)


Record 4
Material: Na2ZnCu
Method: DFT, PBE
State: optimized geometry

a = 3.9513 Å, b = 3.9513 Å, c = 21.1617 Å
α = 90.00°, β = 90.00°, γ = 90.00°
Positions (direct):
1 Na 0.2453 0.2500 0.1250
2 Na 0.2500 0.7453 0.3750
3 Na 0.2500 0.7547 0.8750
4 Na 0.2547 0.2500 0.6250
5 Na 0.7453 0.7500 0.6250
6 Na 0.7500 0.2453 0.8750
7 Na 0.7500 0.2547 0.3750
8 Na 0.7547 0.7500 0.1250
9 Zn 0.0000 0.0000 0.5000
10 Zn 0.0000 0.5000 0.7500
11 Zn 0.5000 0.0000 0.2500
12 Zn 0.5000 0.5000 0.0000
13 Cu 0.0000 0.0000 0.0000
14 Cu 0.0000 0.5000 0.2500
15 Cu 0.5000 0.0000 0.7500
16 Cu 0.5000 0.5000 0.5000

Summary:
**Electronic total energy**: -1.642 eV/atom
**Space group**: I-42d (122)